Entry 1:
The following is a PBE calculation of crystalline MgTiTe2I at its relaxed geometry, from Alexandria.

Geometry as CIF:
```
data_MgTiTe2I
_space_group_name_H-M_alt 'P 4/m m m'
_space_group_IT_number 123
_space_group_name_Hall '-P 4 2'
_cell_length_a 5.3328
_cell_length_b 5.3328
_cell_length_c 5.6970
_cell_angle_alpha 90.00
_cell_angle_beta 90.00
_cell_angle_gamma 90.00
loop_
_atom_site_label
_atom_site_type_symbol
_atom_site_fract_x
_atom_site_fract_y
_atom_site_fract_z
_atom_site_occupancy
Mg1 Mg 0.0000 0.0000 0.0000 1
Ti1 Ti 0.5000 0.5000 0.5000 1
Te1 Te 0.0000 0.5000 0.5000 1
I1 I 0.5000 0.5000 0.0000 1
```

Properties
* electronic total energy: -3.64 eV per atom
* DOS(E_F): 3.82 states/eV/cell
* energy above the lowest structure with this stoichiometry: 0 meV per atom
* size of the total moment: 0.01 μB per atom
* formation energy without anion corrections: -0.179 eV per atom

=====

Entry 2:
The following is a PBE calculation of crystalline Pm5Nd2Co4 at its relaxed geometry, from Alexandria.

Geometry as CIF:
```
data_Pm5Nd2Co4
_space_group_name_H-M_alt 'C 1 2/m 1'
_space_group_IT_number 12
_space_group_name_Hall '-C 2y'
_cell_length_a 12.2407
_cell_length_b 6.7098
_cell_length_c 9.1692
_cell_angle_alpha 90.00
_cell_angle_beta 128.35
_cell_angle_gamma 90.00
loop_
_atom_site_label
_atom_site_type_symbol
_atom_site_fract_x
_atom_site_fract_y
_atom_site_fract_z
_atom_site_occupancy
Pm1 Pm 0.0000 0.0000 0.0000 1
Pm2 Pm 0.0726 0.2577 0.3952 1
Nd1 Nd 0.2187 0.5000 0.1126 1
Co1 Co 0.1760 0.5000 0.7921 1
Co2 Co 0.2209 0.0000 0.3413 1
```

Properties
* electronic total energy: -5.49 eV per atom
* DOS(E_F): 20.55 states/eV/cell
* size of the total moment: 0.00 μB per atom
* E_form: 125.1 meV/atom

=====

Entry 3:
The following is a PBE calculation of crystalline ScTc2Pb at its relaxed geometry, from Alexandria.

Geometry as CIF:
```
data_ScTc2Pb
_space_group_name_H-M_alt 'I -4 m 2'
_space_group_IT_number 119
_space_group_name_Hall 'I -4 -2'
_cell_length_a 4.0836
_cell_length_b 4.0836
_cell_length_c 8.5739
_cell_angle_alpha 90.00
_cell_angle_beta 90.00
_cell_angle_gamma 90.00
loop_
_atom_site_label
_atom_site_type_symbol
_atom_site_fract_x
_atom_site_fract_y
_atom_site_fract_z
_atom_site_occupancy
Sc1 Sc 0.0000 0.0000 0.0000 1
Tc1 Tc 0.0000 0.0000 0.5000 1
Tc2 Tc 0.0000 0.5000 0.7500 1
Pb1 Pb 0.0000 0.5000 0.2500 1
```

Properties
* electronic total energy: -7.46 eV per atom
* DOS(E_F): 11.02 states/eV/cell
* energy above the lowest structure with this stoichiometry: 248 meV per atom
* size of the total moment: 0.14 μB per atom
* E_form: 232.1 meV/atom

=====

Entry 4:
The following is a PBE calculation of crystalline RbAlSnHg2 at its relaxed geometry, from Alexandria.

Geometry as CIF:
```
data_RbAlSnHg2
_space_group_name_H-M_alt 'P 4/m m m'
_space_group_IT_number 123
_space_group_name_Hall '-P 4 2'
_cell_length_a 5.4665
_cell_length_b 5.4665
_cell_length_c 5.4533
_cell_angle_alpha 90.00
_cell_angle_beta 90.00
_cell_angle_gamma 90.00
loop_
_atom_site_label
_atom_site_type_symbol
_atom_site_fract_x
_atom_site_fract_y
_atom_site_fract_z
_atom_site_occupancy
Rb1 Rb 0.0000 0.0000 0.0000 1
Al1 Al 0.5000 0.5000 0.5000 1
Sn1 Sn 0.5000 0.5000 0.0000 1
Hg1 Hg 0.0000 0.5000 0.5000 1
```

Properties
* electronic total energy: -1.85 eV per atom
* DOS(E_F): 2.92 states/eV/cell
* size of the total moment: 0.00 μB per atom
* E_form: 10.9 meV/atom